1.
First-principles (SCAN) data for a PBEsol-optimized structure of Dy2TeO6, as listed in Alexandria via LeMat-Bulk.

CIF file:
```
data_Dy2TeO6
_symmetry_space_group_name_H-M 'P 3 2 1'
_symmetry_Int_Tables_number 150
_cell_length_a 9.0099
_cell_length_b 9.0099
_cell_length_c 5.1850
_cell_angle_alpha 90.00
_cell_angle_beta 90.00
_cell_angle_gamma 120.00
loop_
_symmetry_equiv_pos_as_xyz
'x,y,z'
'-y,x-y,z'
'-x+y,-x,z'
'y,x,-z'
'x-y,-y,-z'
'-x,-x+y,-z'
loop_
_atom_site_label
_atom_site_type_symbol
_atom_site_fract_x
_atom_site_fract_y
_atom_site_fract_z
_atom_site_occupancy
Dy1 Dy 0.0000 0.2785 0.0000 1
Dy2 Dy 0.0000 0.6157 0.5000 1
Te1 Te 0.0000 0.0000 0.5000 1
Te2 Te 0.3333 0.6667 0.9932 1
O1 O 0.0734 0.8730 0.2863 1
O2 O 0.1317 0.5433 0.2072 1
O3 O 0.2288 0.7656 0.7768 1
```

Results
**Raw total energy**: -21.7232 eV per atom

2.
First-principles (SCAN) data for a PBEsol-optimized structure of FeReRh2, as listed in Alexandria via LeMat-Bulk.

CIF file:
```
data_FeReRh2
_symmetry_space_group_name_H-M 'I 4/m m m'
_symmetry_Int_Tables_number 139
_symmetry_space_group_name_Hall '-I 4 2'
_cell_length_a 3.7446
_cell_length_b 3.7446
_cell_length_c 7.4854
_cell_angle_alpha 90.00
_cell_angle_beta 90.00
_cell_angle_gamma 90.00
loop_
_atom_site_label
_atom_site_type_symbol
_atom_site_fract_x
_atom_site_fract_y
_atom_site_fract_z
_atom_site_occupancy
Fe1 Fe 0.0000 0.0000 0.0000 1
Re1 Re 0.0000 0.0000 0.5000 1
Rh1 Rh 0.0000 0.5000 0.2500 1
```

Results
**Energy of formation**: -0.121 eV/atom

3.
First-principles (SCAN) data for a PBEsol-optimized structure of Ca2AsI, as listed in Alexandria via LeMat-Bulk.

CIF file:
```
data_Ca2AsI
_symmetry_space_group_name_H-M 'F m -3 m'
_symmetry_Int_Tables_number 225
_symmetry_space_group_name_Hall '-F 4 2 3'
_cell_length_a 7.5229
_cell_length_b 7.5229
_cell_length_c 7.5229
_cell_angle_alpha 90.00
_cell_angle_beta 90.00
_cell_angle_gamma 90.00
loop_
_atom_site_label
_atom_site_type_symbol
_atom_site_fract_x
_atom_site_fract_y
_atom_site_fract_z
_atom_site_occupancy
Ca1 Ca 0.2500 0.2500 0.2500 1
As1 As 0.0000 0.0000 0.0000 1
I1 I 0.0000 0.0000 0.5000 1
```

Results
**Raw total energy**: -20.2324 eV per atom

What did the first record say?
First-principles (SCAN) data for a PBEsol-optimized structure of Dy2TeO6, as listed in Alexandria via LeMat-Bulk.

CIF file:
```
data_Dy2TeO6
_symmetry_space_group_name_H-M 'P 3 2 1'
_symmetry_Int_Tables_number 150
_cell_length_a 9.0099
_cell_length_b 9.0099
_cell_length_c 5.1850
_cell_angle_alpha 90.00
_cell_angle_beta 90.00
_cell_angle_gamma 120.00
loop_
_symmetry_equiv_pos_as_xyz
'x,y,z'
'-y,x-y,z'
'-x+y,-x,z'
'y,x,-z'
'x-y,-y,-z'
'-x,-x+y,-z'
loop_
_atom_site_label
_atom_site_type_symbol
_atom_site_fract_x
_atom_site_fract_y
_atom_site_fract_z
_atom_site_occupancy
Dy1 Dy 0.0000 0.2785 0.0000 1
Dy2 Dy 0.0000 0.6157 0.5000 1
Te1 Te 0.0000 0.0000 0.5000 1
Te2 Te 0.3333 0.6667 0.9932 1
O1 O 0.0734 0.8730 0.2863 1
O2 O 0.1317 0.5433 0.2072 1
O3 O 0.2288 0.7656 0.7768 1
```

Results
**Raw total energy**: -21.7232 eV per atom